1.
SrCaNiHg2 (PBE, relaxed); total DFT energy (no corrections) = -2.229 eV/atom; density of states at the Fermi level = 3.04 states/eV/f.u.; formation energy = -215.6 meV per atom
1.0
-3.861 0.928 3.380
2.228 -3.231 3.433
2.582 3.805 1.904
Hg Ca Sr Ni
2 1 1 1
Direct
0.000 0.500 0.000 Hg
0.500 0.000 0.000 Hg
0.000 0.000 0.500 Ca
0.500 0.500 0.500 Sr
0.000 0.000 0.000 Ni

2.
CaTlNiHg2 (PBE, relaxed); total DFT energy (no corrections) = -2.219 eV/atom; density of states at the Fermi level = 2.80 states/eV/f.u.; formation energy = -68.0 meV per atom
1.0
5.099 0.000 0.000
0.000 5.099 0.000
0.000 0.000 5.099
Ni Hg Tl Ca
1 2 1 1
Direct
0.000 0.000 0.000 Ni
0.000 0.500 0.000 Hg
0.500 0.000 0.000 Hg
0.500 0.500 0.500 Tl
0.000 0.000 0.500 Ca

3.
CaTlNiHg2 (PBE, relaxed); total DFT energy (no corrections) = -2.253 eV/atom; density of states at the Fermi level = 2.75 states/eV/f.u.; formation energy = -101.9 meV per atom
1.0
-2.878 -1.349 3.953
-0.618 -4.611 -2.023
4.057 -1.600 2.408
Hg Ca Ni Tl
2 1 1 1
Direct
0.500 0.000 0.000 Hg
0.000 0.500 0.000 Hg
0.500 0.500 0.500 Ca
0.000 0.000 0.000 Ni
0.000 0.000 0.500 Tl

Question: Which of these has the lowest formation energy?
Answer: SrCaNiHg2